Entry 1:
# Pm7Hg2Ru2 PBE relaxed
data_Pm7Hg2Ru2
_chemical_formula_sum 'Pm7 Hg2 Ru2'
_space_group_name_H-M_alt 'P 1'
_space_group_IT_number 1
_cell_length_a 6.9165
_cell_length_b 6.9165
_cell_length_c 7.2690
_cell_angle_alpha 90.00
_cell_angle_beta 90.00
_cell_angle_gamma 108.54
loop_
_space_group_symop_operation_xyz
'x,y,z'
loop_
_atom_site_label
_atom_site_type_symbol
_atom_site_fract_x
_atom_site_fract_y
_atom_site_fract_z
_atom_site_occupancy
Pm1 Pm 0.0000 0.0000 0.0000 1
Pm2 Pm 0.0000 0.5000 0.2534 1
Pm3 Pm 0.0000 0.5000 0.7466 1
Pm4 Pm 0.5000 0.0000 0.2534 1
Pm5 Pm 0.5000 0.0000 0.7466 1
Pm6 Pm 0.5000 0.5000 0.2428 1
Pm7 Pm 0.5000 0.5000 0.7572 1
Hg1 Hg 0.1793 0.1793 0.5000 1
Hg2 Hg 0.8207 0.8207 0.5000 1
Ru1 Ru 0.2950 0.7050 0.0000 1
Ru2 Ru 0.7050 0.2950 0.0000 1
# D(E_F) = 11.1 states/eV/f.u.
# Magnetic moment = 0.00 μB per cell
# Energy relative to the elements = -0.218 eV/atom
# Space-group type = Cmmm
# E_tot = -54.8 eV per cell

Entry 2:
# Pm5Hg2Ru PBE relaxed
data_Pm5Hg2Ru
_chemical_formula_sum 'Pm5 Hg2 Ru1'
_space_group_name_H-M_alt 'P 1'
_space_group_IT_number 1
_cell_length_a 6.6956
_cell_length_b 6.6956
_cell_length_c 6.6979
_cell_angle_alpha 110.13
_cell_angle_beta 110.13
_cell_angle_gamma 108.15
loop_
_space_group_symop_operation_xyz
'x,y,z'
loop_
_atom_site_label
_atom_site_type_symbol
_atom_site_fract_x
_atom_site_fract_y
_atom_site_fract_z
_atom_site_occupancy
Pm1 Pm 0.0000 0.0000 0.0000 1
Pm2 Pm 0.9997 0.4947 0.4932 1
Pm3 Pm 0.0025 0.0025 0.4955 1
Pm4 Pm 0.4947 0.9997 0.4932 1
Pm5 Pm 0.4952 0.4952 0.9884 1
Hg1 Hg 0.4926 0.9932 0.9930 1
Hg2 Hg 0.9932 0.4926 0.9930 1
Ru1 Ru 0.3518 0.3518 0.4938 1
# D(E_F) = 5.4 states/eV/f.u.
# Magnetic moment = 0.00 μB per cell
# Energy relative to the elements = -0.191 eV/atom
# Space-group type = Cm
# E_tot = -35.2 eV per cell
# Distance to the lowest polymorph of the same formula = 14.9 kJ/mol of atoms

Entry 3:
# Pm6Hg2Ru PBE relaxed
data_Pm6Hg2Ru
_chemical_formula_sum 'Pm12 Hg4 Ru2'
_space_group_name_H-M_alt 'P 1'
_space_group_IT_number 1
_cell_length_a 7.1556
_cell_length_b 7.4864
_cell_length_c 12.6669
_cell_angle_alpha 90.00
_cell_angle_beta 124.19
_cell_angle_gamma 90.00
loop_
_space_group_symop_operation_xyz
'x,y,z'
loop_
_atom_site_label
_atom_site_type_symbol
_atom_site_fract_x
_atom_site_fract_y
_atom_site_fract_z
_atom_site_occupancy
Pm1 Pm 0.1356 0.1948 0.4496 1
Pm2 Pm 0.1356 0.3052 0.9496 1
Pm3 Pm 0.2538 0.6904 0.4477 1
Pm4 Pm 0.2538 0.8096 0.9477 1
Pm5 Pm 0.3585 0.0073 0.2483 1
Pm6 Pm 0.3585 0.4927 0.7483 1
Pm7 Pm 0.6415 0.5073 0.2517 1
Pm8 Pm 0.6415 0.9927 0.7517 1
Pm9 Pm 0.7462 0.1904 0.0523 1
Pm10 Pm 0.7462 0.3096 0.5523 1
Pm11 Pm 0.8644 0.6948 0.0504 1
Pm12 Pm 0.8644 0.8052 0.5504 1
Hg1 Hg 0.2110 0.0901 0.7470 1
Hg2 Hg 0.2110 0.4099 0.2470 1
Hg3 Hg 0.7890 0.5901 0.7530 1
Hg4 Hg 0.7890 0.9099 0.2530 1
Ru1 Ru 0.5000 0.0000 0.5000 1
Ru2 Ru 0.5000 0.5000 0.0000 1
# D(E_F) = 8.5 states/eV/f.u.
# Magnetic moment = 0.00 μB per cell
# Energy relative to the elements = -0.245 eV/atom
# Space-group type = P2_1/c
# E_tot = -81.2 eV per cell

Entry 4:
# Pm5Hg2Ru PBE relaxed
data_Pm5Hg2Ru
_chemical_formula_sum 'Pm10 Hg4 Ru2'
_space_group_name_H-M_alt 'P 1'
_space_group_IT_number 1
_cell_length_a 7.8900
_cell_length_b 12.0472
_cell_length_c 4.8440
_cell_angle_alpha 90.00
_cell_angle_beta 90.00
_cell_angle_gamma 90.00
loop_
_space_group_symop_operation_xyz
'x,y,z'
loop_
_atom_site_label
_atom_site_type_symbol
_atom_site_fract_x
_atom_site_fract_y
_atom_site_fract_z
_atom_site_occupancy
Pm1 Pm 0.0000 0.0000 0.0000 1
Pm2 Pm 0.1459 0.2979 0.0000 1
Pm3 Pm 0.1806 0.5760 0.5000 1
Pm4 Pm 0.3194 0.0760 0.5000 1
Pm5 Pm 0.3541 0.7979 0.0000 1
Pm6 Pm 0.5000 0.5000 0.0000 1
Pm7 Pm 0.6459 0.2021 0.0000 1
Pm8 Pm 0.6806 0.9240 0.5000 1
Pm9 Pm 0.8194 0.4240 0.5000 1
Pm10 Pm 0.8541 0.7021 0.0000 1
Hg1 Hg 0.0718 0.8344 0.5000 1
Hg2 Hg 0.4282 0.3344 0.5000 1
Hg3 Hg 0.5718 0.6656 0.5000 1
Hg4 Hg 0.9282 0.1656 0.5000 1
Ru1 Ru 0.0000 0.5000 0.0000 1
Ru2 Ru 0.5000 0.0000 0.0000 1
# D(E_F) = 9.2 states/eV/f.u.
# Magnetic moment = 0.00 μB per cell
# Energy relative to the elements = -0.346 eV/atom
# Space-group type = Pbam
# E_tot = -72.8 eV per cell
# Distance to the lowest polymorph of the same formula = 0.0 kJ/mol of atoms

Entry 5:
# Pm8HgRu2 PBE relaxed
data_Pm8HgRu2
_chemical_formula_sum 'Pm8 Hg1 Ru2'
_space_group_name_H-M_alt 'P 1'
_space_group_IT_number 1
_cell_length_a 8.0484
_cell_length_b 8.0484
_cell_length_c 5.6802
_cell_angle_alpha 97.86
_cell_angle_beta 97.86
_cell_angle_gamma 114.08
loop_
_space_group_symop_operation_xyz
'x,y,z'
loop_
_atom_site_label
_atom_site_type_symbol
_atom_site_fract_x
_atom_site_fract_y
_atom_site_fract_z
_atom_site_occupancy
Pm1 Pm 0.0736 0.3294 0.5676 1
Pm2 Pm 0.2453 0.7547 0.0000 1
Pm3 Pm 0.3294 0.0736 0.5676 1
Pm4 Pm 0.3893 0.3893 0.1981 1
Pm5 Pm 0.6107 0.6107 0.8019 1
Pm6 Pm 0.6706 0.9264 0.4324 1
Pm7 Pm 0.7547 0.2453 0.0000 1
Pm8 Pm 0.9264 0.6706 0.4324 1
Hg1 Hg 0.0000 0.0000 0.0000 1
Ru1 Ru 0.3004 0.6996 0.5000 1
Ru2 Ru 0.6996 0.3004 0.5000 1
# D(E_F) = 13.3 states/eV/f.u.
# Magnetic moment = 0.00 μB per cell
# Energy relative to the elements = -0.145 eV/atom
# Space-group type = C2/m
# E_tot = -58.5 eV per cell

Entry 6:
# Pm2HgRu PBE relaxed
data_Pm2HgRu
_chemical_formula_sum 'Pm2 Hg1 Ru1'
_space_group_name_H-M_alt 'P 1'
_space_group_IT_number 1
_cell_length_a 5.1578
_cell_length_b 5.1578
_cell_length_c 5.1578
_cell_angle_alpha 60.00
_cell_angle_beta 60.00
_cell_angle_gamma 60.00
loop_
_space_group_symop_operation_xyz
'x,y,z'
loop_
_atom_site_label
_atom_site_type_symbol
_atom_site_fract_x
_atom_site_fract_y
_atom_site_fract_z
_atom_site_occupancy
Pm1 Pm 0.2500 0.2500 0.2500 1
Pm2 Pm 0.7500 0.7500 0.7500 1
Hg1 Hg 0.0000 0.0000 0.0000 1
Ru1 Ru 0.5000 0.5000 0.5000 1
# D(E_F) = 2.9 states/eV/f.u.
# Magnetic moment = 0.00 μB per cell
# Energy relative to the elements = -0.268 eV/atom
# Space-group type = Fm-3m
# E_tot = -20.2 eV per cell
# Distance to the lowest polymorph of the same formula = 8.4 kJ/mol of atoms

Entry 7:
# Pm3Hg2Ru PBE relaxed
data_Pm3Hg2Ru
_chemical_formula_sum 'Pm3 Hg2 Ru1'
_space_group_name_H-M_alt 'P 1'
_space_group_IT_number 1
_cell_length_a 8.7287
_cell_length_b 8.7287
_cell_length_c 3.5792
_cell_angle_alpha 90.08
_cell_angle_beta 90.08
_cell_angle_gamma 36.10
loop_
_space_group_symop_operation_xyz
'x,y,z'
loop_
_atom_site_label
_atom_site_type_symbol
_atom_site_fract_x
_atom_site_fract_y
_atom_site_fract_z
_atom_site_occupancy
Pm1 Pm 0.0000 0.0000 0.0000 1
Pm2 Pm 0.3633 0.3633 0.5000 1
Pm3 Pm 0.6367 0.6367 0.5000 1
Hg1 Hg 0.1946 0.1946 0.9990 1
Hg2 Hg 0.8054 0.8054 0.0010 1
Ru1 Ru 0.5000 0.5000 0.0000 1
# D(E_F) = 3.6 states/eV/f.u.
# Magnetic moment = 0.00 μB per cell
# Energy relative to the elements = -0.355 eV/atom
# Space-group type = C2/m
# E_tot = -26.3 eV per cell
# Distance to the lowest polymorph of the same formula = 2.7 kJ/mol of atoms

Entry 8:
# Pm7HgRu2 PBE relaxed
data_Pm7HgRu2
_chemical_formula_sum 'Pm7 Hg1 Ru2'
_space_group_name_H-M_alt 'P 1'
_space_group_IT_number 1
_cell_length_a 8.2836
_cell_length_b 8.2836
_cell_length_c 5.2967
_cell_angle_alpha 90.00
_cell_angle_beta 90.00
_cell_angle_gamma 112.82
loop_
_space_group_symop_operation_xyz
'x,y,z'
loop_
_atom_site_label
_atom_site_type_symbol
_atom_site_fract_x
_atom_site_fract_y
_atom_site_fract_z
_atom_site_occupancy
Pm1 Pm 0.0000 0.0000 0.0000 1
Pm2 Pm 0.1869 0.4457 0.0000 1
Pm3 Pm 0.2184 0.7816 0.5000 1
Pm4 Pm 0.4457 0.1869 0.0000 1
Pm5 Pm 0.5543 0.8131 0.0000 1
Pm6 Pm 0.7816 0.2184 0.5000 1
Pm7 Pm 0.8131 0.5543 0.0000 1
Hg1 Hg 0.5000 0.5000 0.5000 1
Ru1 Ru 0.1992 0.8008 0.0000 1
Ru2 Ru 0.8008 0.1992 0.0000 1
# D(E_F) = 11.3 states/eV/f.u.
# Magnetic moment = 0.00 μB per cell
# Energy relative to the elements = -0.033 eV/atom
# Space-group type = Cmmm
# E_tot = -52.4 eV per cell

Entry 9:
# Pm2HgRu PBE relaxed
data_Pm2HgRu
_chemical_formula_sum 'Pm2 Hg1 Ru1'
_space_group_name_H-M_alt 'P 1'
_space_group_IT_number 1
_cell_length_a 8.0497
_cell_length_b 8.0497
_cell_length_c 8.0497
_cell_angle_alpha 29.60
_cell_angle_beta 29.60
_cell_angle_gamma 29.60
loop_
_space_group_symop_operation_xyz
'x,y,z'
loop_
_atom_site_label
_atom_site_type_symbol
_atom_site_fract_x
_atom_site_fract_y
_atom_site_fract_z
_atom_site_occupancy
Pm1 Pm 0.0000 0.0000 0.0000 1
Pm2 Pm 0.2027 0.2027 0.2027 1
Hg1 Hg 0.4357 0.4357 0.4357 1
Ru1 Ru 0.6001 0.6001 0.6001 1
# D(E_F) = 1.7 states/eV/f.u.
# Magnetic moment = 0.00 μB per cell
# Energy relative to the elements = -0.230 eV/atom
# Space-group type = R3m
# E_tot = -20.0 eV per cell
# Distance to the lowest polymorph of the same formula = 12.1 kJ/mol of atoms

Entry 10:
# Pm3Hg2Ru PBE relaxed
data_Pm3Hg2Ru
_chemical_formula_sum 'Pm6 Hg4 Ru2'
_space_group_name_H-M_alt 'P 1'
_space_group_IT_number 1
_cell_length_a 8.1405
_cell_length_b 8.1405
_cell_length_c 7.6271
_cell_angle_alpha 90.00
_cell_angle_beta 90.00
_cell_angle_gamma 142.67
loop_
_space_group_symop_operation_xyz
'x,y,z'
loop_
_atom_site_label
_atom_site_type_symbol
_atom_site_fract_x
_atom_site_fract_y
_atom_site_fract_z
_atom_site_occupancy
Pm1 Pm 0.0000 0.0000 0.2335 1
Pm2 Pm 0.0000 0.0000 0.7665 1
Pm3 Pm 0.3257 0.6743 0.2252 1
Pm4 Pm 0.3257 0.6743 0.7748 1
Pm5 Pm 0.6743 0.3257 0.2252 1
Pm6 Pm 0.6743 0.3257 0.7748 1
Hg1 Hg 0.1653 0.8347 0.5000 1
Hg2 Hg 0.5000 0.5000 0.0000 1
Hg3 Hg 0.5000 0.5000 0.5000 1
Hg4 Hg 0.8347 0.1653 0.5000 1
Ru1 Ru 0.1646 0.8354 0.0000 1
Ru2 Ru 0.8354 0.1646 0.0000 1
# D(E_F) = 4.7 states/eV/f.u.
# Magnetic moment = 0.00 μB per cell
# Energy relative to the elements = -0.383 eV/atom
# Space-group type = Cmmm
# E_tot = -52.9 eV per cell
# Distance to the lowest polymorph of the same formula = 0.0 kJ/mol of atoms

Entry 11:
# Pm4HgRu PBE relaxed
data_Pm4HgRu
_chemical_formula_sum 'Pm16 Hg4 Ru4'
_space_group_name_H-M_alt 'P 1'
_space_group_IT_number 1
_cell_length_a 9.8203
_cell_length_b 9.8203
_cell_length_c 9.8203
_cell_angle_alpha 60.00
_cell_angle_beta 60.00
_cell_angle_gamma 60.00
loop_
_space_group_symop_operation_xyz
'x,y,z'
loop_
_atom_site_label
_atom_site_type_symbol
_atom_site_fract_x
_atom_site_fract_y
_atom_site_fract_z
_atom_site_occupancy
Pm1 Pm 0.0589 0.0589 0.4411 1
Pm2 Pm 0.0589 0.4411 0.0589 1
Pm3 Pm 0.0589 0.4411 0.4411 1
Pm4 Pm 0.1892 0.1892 0.8108 1
Pm5 Pm 0.1892 0.8108 0.1892 1
Pm6 Pm 0.1892 0.8108 0.8108 1
Pm7 Pm 0.2077 0.5974 0.5974 1
Pm8 Pm 0.4411 0.0589 0.0589 1
Pm9 Pm 0.4411 0.0589 0.4411 1
Pm10 Pm 0.4411 0.4411 0.0589 1
Pm11 Pm 0.5974 0.2077 0.5974 1
Pm12 Pm 0.5974 0.5974 0.2077 1
Pm13 Pm 0.5974 0.5974 0.5974 1
Pm14 Pm 0.8108 0.1892 0.1892 1
Pm15 Pm 0.8108 0.1892 0.8108 1
Pm16 Pm 0.8108 0.8108 0.1892 1
Hg1 Hg 0.5000 0.8333 0.8333 1
Hg2 Hg 0.8333 0.5000 0.8333 1
Hg3 Hg 0.8333 0.8333 0.5000 1
Hg4 Hg 0.8333 0.8333 0.8333 1
Ru1 Ru 0.3880 0.3880 0.3880 1
Ru2 Ru 0.3880 0.3880 0.8359 1
Ru3 Ru 0.3880 0.8359 0.3880 1
Ru4 Ru 0.8359 0.3880 0.3880 1
# D(E_F) = 6.4 states/eV/f.u.
# Magnetic moment = 0.00 μB per cell
# Energy relative to the elements = -0.325 eV/atom
# Space-group type = F-43m
# E_tot = -122.1 eV per cell
# Distance to the lowest polymorph of the same formula = 0.0 kJ/mol of atoms

Entry 12:
# Pm2HgRu PBE relaxed
data_Pm2HgRu
_chemical_formula_sum 'Pm2 Hg1 Ru1'
_space_group_name_H-M_alt 'P 1'
_space_group_IT_number 1
_cell_length_a 3.5575
_cell_length_b 3.5575
_cell_length_c 7.7588
_cell_angle_alpha 90.00
_cell_angle_beta 90.00
_cell_angle_gamma 90.00
loop_
_space_group_symop_operation_xyz
'x,y,z'
loop_
_atom_site_label
_atom_site_type_symbol
_atom_site_fract_x
_atom_site_fract_y
_atom_site_fract_z
_atom_site_occupancy
Pm1 Pm 0.0000 0.0000 0.2199 1
Pm2 Pm 0.0000 0.0000 0.7801 1
Hg1 Hg 0.5000 0.5000 0.5000 1
Ru1 Ru 0.5000 0.5000 0.0000 1
# D(E_F) = 3.7 states/eV/f.u.
# Magnetic moment = 0.00 μB per cell
# Energy relative to the elements = -0.355 eV/atom
# Space-group type = P4/mmm
# E_tot = -20.5 eV per cell
# Distance to the lowest polymorph of the same formula = 0.0 kJ/mol of atoms

Copy entry 10 word for word.
# Pm3Hg2Ru PBE relaxed
data_Pm3Hg2Ru
_chemical_formula_sum 'Pm6 Hg4 Ru2'
_space_group_name_H-M_alt 'P 1'
_space_group_IT_number 1
_cell_length_a 8.1405
_cell_length_b 8.1405
_cell_length_c 7.6271
_cell_angle_alpha 90.00
_cell_angle_beta 90.00
_cell_angle_gamma 142.67
loop_
_space_group_symop_operation_xyz
'x,y,z'
loop_
_atom_site_label
_atom_site_type_symbol
_atom_site_fract_x
_atom_site_fract_y
_atom_site_fract_z
_atom_site_occupancy
Pm1 Pm 0.0000 0.0000 0.2335 1
Pm2 Pm 0.0000 0.0000 0.7665 1
Pm3 Pm 0.3257 0.6743 0.2252 1
Pm4 Pm 0.3257 0.6743 0.7748 1
Pm5 Pm 0.6743 0.3257 0.2252 1
Pm6 Pm 0.6743 0.3257 0.7748 1
Hg1 Hg 0.1653 0.8347 0.5000 1
Hg2 Hg 0.5000 0.5000 0.0000 1
Hg3 Hg 0.5000 0.5000 0.5000 1
Hg4 Hg 0.8347 0.1653 0.5000 1
Ru1 Ru 0.1646 0.8354 0.0000 1
Ru2 Ru 0.8354 0.1646 0.0000 1
# D(E_F) = 4.7 states/eV/f.u.
# Magnetic moment = 0.00 μB per cell
# Energy relative to the elements = -0.383 eV/atom
# Space-group type = Cmmm
# E_tot = -52.9 eV per cell
# Distance to the lowest polymorph of the same formula = 0.0 kJ/mol of atoms

Number 12 is which compound?
Pm2HgRu

magnetic moment of number 12 (Pm2HgRu)?
0.00 μB per cell

Number 1 is which compound?
Pm7Hg2Ru2